No. 1
{
  "formula": "Tb2HgPb3",
  "functional": "GGA-PBE",
  "state": "relaxed",
  "relative_energy_ev_per_atom": 0.000,
  "n_ef_per_ev_cell": 2.63,
  "crystal_system": "orthorhombic",
  "ef_ev_per_fu": -2.50,
  "vol_a3_per_cell": 166,
  "space_group": "Cmmm, No. 65",
  "lattice_angstrom": [[-4.167, 1.606, 0.946], [-1.859, -3.084, -2.956], [1.413, -5.962, 5.332]],
  "species": ["Tb", "Tb", "Hg", "Pb", "Pb", "Pb"],
  "frac_coords": [[0.150, 0.500, 0.300], [0.850, 0.500, 0.700], [0.000, 0.000, 0.000], [0.326, 0.000, 0.651], [0.674, 0.000, 0.349], [0.500, 0.500, 0.000]]
}



No. 2
{
  "formula": "Ca3In2Hg8",
  "functional": "GGA-PBE",
  "state": "relaxed",
  "n_ef_per_ev_cell": 5.52,
  "crystal_system": "trigonal",
  "ef_ev_per_fu": -2.56,
  "vol_a3_per_cell": 368,
  "space_group": "R-3m, No. 166",
  "lattice_angstrom": [[-3.122, 2.630, 4.566], [-0.291, -2.724, 5.478], [8.218, 5.467, 6.579]],
  "species": ["Ca", "Ca", "Ca", "In", "In", "Hg", "Hg", "Hg", "Hg", "Hg", "Hg", "Hg", "Hg"],
  "frac_coords": [[0.000, 0.000, 0.000], [0.811, 0.811, 0.567], [0.189, 0.189, 0.433], [0.634, 0.634, 0.097], [0.366, 0.366, 0.903], [0.719, 0.719, 0.843], [0.281, 0.281, 0.157], [0.224, 0.726, 0.324], [0.726, 0.224, 0.324], [0.726, 0.726, 0.324], [0.274, 0.776, 0.676], [0.776, 0.274, 0.676], [0.274, 0.274, 0.676]]
}